--- A ---
# Er2PN, optimized geometry, DFT PBE-GGA
# M_tot: 0.00 μB/f.u.
# DOS at the Fermi energy: 1.638 states/eV/cell
data_Er2PN
_cell_length_a 3.6569
_cell_length_b 3.6569
_cell_length_c 18.4914
_cell_angle_alpha 90.00
_cell_angle_beta 90.00
_cell_angle_gamma 120.00
_space_group_name_H-M_alt 'R -3 m'
_space_group_IT_number 166
_space_group_name_Hall '-R 3 2"'
loop_
_atom_site_label
_atom_site_type_symbol
_atom_site_fract_x
_atom_site_fract_y
_atom_site_fract_z
Er1 Er 0.0000 0.0000 0.2393
P1 P 0.0000 0.0000 0.0000
N1 N 0.0000 0.0000 0.5000

***

--- B ---
# Er2PN, optimized geometry, DFT PBE-GGA
# M_tot: 0.00 μB/f.u.
# DOS at the Fermi energy: 0.974 states/eV/cell
data_Er2PN
_cell_length_a 3.6009
_cell_length_b 3.6009
_cell_length_c 19.4784
_cell_angle_alpha 90.00
_cell_angle_beta 90.00
_cell_angle_gamma 120.00
_space_group_name_H-M_alt 'R 3 m'
_space_group_IT_number 160
_space_group_name_Hall 'R 3 -2"'
loop_
_atom_site_label
_atom_site_type_symbol
_atom_site_fract_x
_atom_site_fract_y
_atom_site_fract_z
Er1 Er 0.0000 0.0000 0.0000
Er2 Er 0.0000 0.0000 0.1522
P1 P 0.0000 0.0000 0.5768
N1 N 0.0000 0.0000 0.7465

***

Name the most stable of them. A.

***

--- A ---
# Er3PaN4, optimized geometry, DFT PBE-GGA
# M_tot: 0.00 μB/f.u.
# DOS at the Fermi energy: 4.112 states/eV/cell
data_Er3PaN4
_cell_length_a 4.874
_cell_length_b 4.874
_cell_length_c 9.721
_cell_angle_alpha 90.00
_cell_angle_beta 90.00
_cell_angle_gamma 90.00
_space_group_name_H-M_alt 'I 4/m m m'
_space_group_IT_number 139
_space_group_name_Hall '-I 4 2'
loop_
_atom_site_label
_atom_site_type_symbol
_atom_site_fract_x
_atom_site_fract_y
_atom_site_fract_z
Er1 Er 0.000 0.000 0.000
Er2 Er 0.000 0.500 0.250
Pa1 Pa 0.000 0.000 0.500
N1 N 0.000 0.000 0.261
N2 N 0.000 0.500 0.000

***

--- B ---
# Er3PaN4, optimized geometry, DFT PBE-GGA
# M_tot: 0.00 μB/f.u.
# DOS at the Fermi energy: 6.748 states/eV/cell
data_Er3PaN4
_cell_length_a 6.897
_cell_length_b 9.700
_cell_length_c 3.459
_cell_angle_alpha 90.00
_cell_angle_beta 90.00
_cell_angle_gamma 90.00
_space_group_name_H-M_alt 'C m m m'
_space_group_IT_number 65
_space_group_name_Hall '-C 2 2'
loop_
_atom_site_label
_atom_site_type_symbol
_atom_site_fract_x
_atom_site_fract_y
_atom_site_fract_z
Er1 Er 0.000 0.000 0.000
Er2 Er 0.250 0.250 0.500
Pa1 Pa 0.000 0.500 0.000
N1 N 0.000 0.257 0.000
N2 N 0.246 0.500 0.500

***

Name the most stable of them. A.

***

--- A ---
# Er2PdN, optimized geometry, DFT PBE-GGA
# M_tot: 0.00 μB/f.u.
# DOS at the Fermi energy: 2.182 states/eV/cell
data_Er2PdN
_cell_length_a 3.158
_cell_length_b 3.158
_cell_length_c 6.718
_cell_angle_alpha 90.00
_cell_angle_beta 90.00
_cell_angle_gamma 90.00
_space_group_name_H-M_alt 'P 4/m m m'
_space_group_IT_number 123
_space_group_name_Hall '-P 4 2'
loop_
_atom_site_label
_atom_site_type_symbol
_atom_site_fract_x
_atom_site_fract_y
_atom_site_fract_z
Er1 Er 0.000 0.000 0.213
Pd1 Pd 0.500 0.500 0.500
N1 N 0.500 0.500 0.000

***

--- B ---
# Er2PdN, optimized geometry, DFT PBE-GGA
# M_tot: 0.00 μB/f.u.
# DOS at the Fermi energy: 5.816 states/eV/cell
data_Er2PdN
_cell_length_a 3.3307
_cell_length_b 3.3307
_cell_length_c 24.0525
_cell_angle_alpha 90.00
_cell_angle_beta 90.00
_cell_angle_gamma 120.00
_space_group_name_H-M_alt 'R -3 m'
_space_group_IT_number 166
_space_group_name_Hall '-R 3 2"'
loop_
_atom_site_label
_atom_site_type_symbol
_atom_site_fract_x
_atom_site_fract_y
_atom_site_fract_z
Er1 Er 0.0000 0.0000 0.1101
Pd1 Pd 0.0000 0.0000 0.0000
N1 N 0.0000 0.0000 0.5000

***

Name the most stable of them. B.

***

--- A ---
# PmErN, optimized geometry, DFT PBE-GGA
# M_tot: 0.63 μB/f.u.
# DOS at the Fermi energy: 2.704 states/eV/cell
data_PmErN
_cell_length_a 3.5180
_cell_length_b 3.5180
_cell_length_c 6.1650
_cell_angle_alpha 90.00
_cell_angle_beta 90.00
_cell_angle_gamma 120.00
_space_group_name_H-M_alt 'P 3 m 1'
_space_group_IT_number 156
loop_
_space_group_symop_operation_xyz
'x,y,z'
'-y,x-y,z'
'-x+y,-x,z'
'-y,-x,z'
'-x+y,y,z'
'x,x-y,z'
loop_
_atom_site_label
_atom_site_type_symbol
_atom_site_fract_x
_atom_site_fract_y
_atom_site_fract_z
Pm1 Pm 0.0000 0.0000 0.0000
Er1 Er 0.3333 0.6667 0.4403
N1 N 0.6667 0.3333 0.2487

***

--- B ---
# PmErN, optimized geometry, DFT PBE-GGA
# M_tot: 0.00 μB/f.u.
# DOS at the Fermi energy: 5.260 states/eV/cell
data_PmErN
_cell_length_a 6.072
_cell_length_b 6.072
_cell_length_c 6.072
_cell_angle_alpha 90.00
_cell_angle_beta 90.00
_cell_angle_gamma 90.00
_space_group_name_H-M_alt 'F -4 3 m'
_space_group_IT_number 216
_space_group_name_Hall 'F -4 2 3'
loop_
_atom_site_label
_atom_site_type_symbol
_atom_site_fract_x
_atom_site_fract_y
_atom_site_fract_z
Pm1 Pm 0.000 0.000 0.000
Er1 Er 0.000 0.000 0.500
N1 N 0.250 0.250 0.750

***

Name the most stable of them. A.

***

--- A ---
# PrEr2N, optimized geometry, DFT PBE-GGA
# M_tot: 0.00 μB/f.u.
# DOS at the Fermi energy: 4.597 states/eV/cell
data_PrEr2N
_cell_length_a 3.160
_cell_length_b 3.160
_cell_length_c 8.938
_cell_angle_alpha 90.00
_cell_angle_beta 90.00
_cell_angle_gamma 90.00
_space_group_name_H-M_alt 'P 4/m m m'
_space_group_IT_number 123
_space_group_name_Hall '-P 4 2'
loop_
_atom_site_label
_atom_site_type_symbol
_atom_site_fract_x
_atom_site_fract_y
_atom_site_fract_z
Pr1 Pr 0.000 0.000 0.000
Er1 Er 0.500 0.500 0.343
N1 N 0.000 0.000 0.500

***

--- B ---
# PrEr2N, optimized geometry, DFT PBE-GGA
# M_tot: 0.01 μB/f.u.
# DOS at the Fermi energy: 14.593 states/eV/cell
data_PrEr2N
_cell_length_a 3.4301
_cell_length_b 3.4301
_cell_length_c 28.7733
_cell_angle_alpha 90.00
_cell_angle_beta 90.00
_cell_angle_gamma 120.00
_space_group_name_H-M_alt 'R -3 m'
_space_group_IT_number 166
_space_group_name_Hall '-R 3 2"'
loop_
_atom_site_label
_atom_site_type_symbol
_atom_site_fract_x
_atom_site_fract_y
_atom_site_fract_z
Pr1 Pr 0.0000 0.0000 0.0000
Er1 Er 0.0000 0.0000 0.1209
N1 N 0.0000 0.0000 0.5000

***

Name the most stable of them. B.

***

--- A ---
# ErRe2N4, optimized geometry, DFT PBE-GGA
# M_tot: 0.00 μB/f.u.
# DOS at the Fermi energy: 11.022 states/eV/cell
data_ErRe2N4
_cell_length_a 3.208
_cell_length_b 9.706
_cell_length_c 10.068
_cell_angle_alpha 90.00
_cell_angle_beta 90.00
_cell_angle_gamma 90.00
_space_group_name_H-M_alt 'C m c m'
_space_group_IT_number 63
_space_group_name_Hall '-C 2c 2'
loop_
_atom_site_label
_atom_site_type_symbol
_atom_site_fract_x
_atom_site_fract_y
_atom_site_fract_z
Er1 Er 0.000 0.129 0.250
Re1 Re 0.000 0.387 0.064
N1 N 0.000 0.000 0.000
N2 N 0.000 0.261 0.606
N3 N 0.000 0.439 0.250

***

--- B ---
# ErRe2N4, optimized geometry, DFT PBE-GGA
# M_tot: 0.00 μB/f.u.
# DOS at the Fermi energy: 4.356 states/eV/cell
data_ErRe2N4
_cell_length_a 6.624
_cell_length_b 6.624
_cell_length_c 5.396
_cell_angle_alpha 90.00
_cell_angle_beta 90.00
_cell_angle_gamma 90.00
_space_group_name_H-M_alt 'I 4/m'
_space_group_IT_number 87
_space_group_name_Hall '-I 4'
loop_
_atom_site_label
_atom_site_type_symbol
_atom_site_fract_x
_atom_site_fract_y
_atom_site_fract_z
Er1 Er 0.000 0.000 0.000
Re1 Re 0.000 0.500 0.250
N1 N 0.116 0.676 0.000

***

Name the most stable of them. A.